1.
This record from Alexandria describes a geometry-optimized CeNpMnFe structure. The functional is PBE-GGA.

Cell: 4.5716 4.5716 4.5716 Å, 60.00 60.00 60.00°
Atoms (fractional coordinates):
Ce (0.0000, 0.0000, 0.0000)
Np (0.7500, 0.7500, 0.7500)
Mn (0.5000, 0.5000, 0.5000)
Fe (0.2500, 0.2500, 0.2500)

Calculated density in g/cm3: 11.99
Uncorrected energy in Ha/atom: -0.3293
Density of states at the Fermi level in states/eV per cell: 11.48
Total magnetic moment in μB per atom: 0.3190

2.
This record from Alexandria describes a geometry-optimized CeMnFeP2 structure. The functional is PBE-GGA.

Cell: 5.5451 5.5451 5.5451 Å, 138.80 138.80 59.69°
Atoms (fractional coordinates):
Ce (0.0000, 0.0000, 0.0000)
Mn (0.2500, 0.7500, 0.5000)
Fe (0.7500, 0.2500, 0.5000)
P (0.3609, 0.3609, 0.0000)
P (0.6391, 0.6391, 0.0000)

Calculated density in g/cm3: 7.09
Uncorrected energy in Ha/atom: -0.2885
Density of states at the Fermi level in states/eV per cell: 5.05
Total magnetic moment in μB per atom: 0.0004

3.
This record from Alexandria describes a geometry-optimized CeScMnFe structure. The functional is PBE-GGA.

Cell: 4.6482 4.6482 4.6482 Å, 60.00 60.00 60.00°
Atoms (fractional coordinates):
Ce (0.0000, 0.0000, 0.0000)
Sc (0.5000, 0.5000, 0.5000)
Mn (0.2500, 0.2500, 0.2500)
Fe (0.7500, 0.7500, 0.7500)

Calculated density in g/cm3: 6.92
Uncorrected energy in Ha/atom: -0.2725
Density of states at the Fermi level in states/eV per cell: 2.52
Total magnetic moment in μB per atom: 0.6506

4.
This record from Alexandria describes a geometry-optimized CeMnFeSi3 structure. The functional is PBE-GGA.

Cell: 6.2593 6.2593 5.5052 Å, 90.00 90.00 110.85°
Atoms (fractional coordinates):
Ce (0.2493, 0.7507, 0.7500)
Ce (0.7507, 0.2493, 0.2500)
Mn (0.4540, 0.5460, 0.2500)
Mn (0.5460, 0.4540, 0.7500)
Fe (0.0418, 0.9582, 0.2500)
Fe (0.9582, 0.0418, 0.7500)
Si (0.2470, 0.7530, 0.2500)
Si (0.2496, 0.2496, 0.0000)
Si (0.2496, 0.2496, 0.5000)
Si (0.7504, 0.7504, 0.0000)
Si (0.7504, 0.7504, 0.5000)
Si (0.7530, 0.2470, 0.7500)

Calculated density in g/cm3: 5.52
Formation energy from raw total energies in eV per atom: -0.334
Density of states at the Fermi level in states/eV per cell: 13.41
Total magnetic moment in μB per atom: 0.0960

5.
This record from Alexandria describes a geometry-optimized CeUMnFe structure. The functional is PBE-GGA.

Cell: 4.5456 4.5456 4.5456 Å, 60.00 60.00 60.00°
Atoms (fractional coordinates):
Ce (0.0000, 0.0000, 0.0000)
U (0.2500, 0.2500, 0.2500)
Mn (0.5000, 0.5000, 0.5000)
Fe (0.7500, 0.7500, 0.7500)

Calculated density in g/cm3: 12.22
Uncorrected energy in Ha/atom: -0.3167
Density of states at the Fermi level in states/eV per cell: 4.89
Total magnetic moment in μB per atom: 0.7275

6.
This record from Alexandria describes a geometry-optimized CeFeMoP2 structure. The functional is PBE-GGA.

Cell: 5.7546 5.7546 5.7546 Å, 138.92 138.92 59.50°
Atoms (fractional coordinates):
Ce (0.0000, 0.0000, 0.0000)
Fe (0.7500, 0.2500, 0.5000)
Mo (0.2500, 0.7500, 0.5000)
P (0.3680, 0.3680, 0.0000)
P (0.6320, 0.6320, 0.0000)

Calculated density in g/cm3: 7.21
Uncorrected energy in Ha/atom: -0.2936
Density of states at the Fermi level in states/eV per cell: 7.48
Total magnetic moment in μB per atom: 0.0426

7.
This record from Alexandria describes a geometry-optimized Ce2FeN structure. The functional is PBE-GGA.

Cell: 6.6982 6.6982 6.6982 Å, 31.35 31.35 31.35°
Atoms (fractional coordinates):
Ce (0.2433, 0.2433, 0.2433)
Ce (0.7567, 0.7567, 0.7567)
Fe (0.0000, 0.0000, 0.0000)
N (0.5000, 0.5000, 0.5000)

Calculated density in g/cm3: 8.05
Formation energy from raw total energies in eV per atom: -0.494
Density of states at the Fermi level in states/eV per cell: 2.61
Total magnetic moment in μB per atom: 0.0001

8.
This record from Alexandria describes a geometry-optimized Ce5FeN8 structure. The functional is PBE-GGA.

Cell: 6.4379 6.4379 6.4379 Å, 109.48 109.48 109.46°
Atoms (fractional coordinates):
Ce (0.0000, 0.0000, 0.0000)
Ce (0.1265, 0.2091, 0.5803)
Ce (0.4538, 0.8735, 0.0825)
Ce (0.6288, 0.5462, 0.4197)
Ce (0.7909, 0.3712, 0.9175)
Fe (0.2500, 0.7500, 0.5000)
N (0.2683, 0.5611, 0.2020)
N (0.3591, 0.0663, 0.7980)
N (0.3793, 0.1640, 0.3446)
N (0.4389, 0.6409, 0.7071)
N (0.8194, 0.0347, 0.6554)
N (0.8360, 0.1806, 0.2153)
N (0.9337, 0.7317, 0.2929)
N (0.9653, 0.6207, 0.7847)

Calculated density in g/cm3: 7.02
Formation energy from raw total energies in eV per atom: -0.931
Total magnetic moment in μB per atom: 0.2817

Question: What is the total magnetic moment in the sixth record?
Answer: 0.0426 μB per atom

Question: Among the records above, which one has the lowest calculated density?
Answer: CeMnFeSi3

Question: Among the records above, which one has the lowest total magnetic moment?
Answer: Ce2FeN

Question: Which value of total magnetic moment does entry 3 give?
Answer: 0.6506 μB per atom